# 1
{
  "formula": "Y2HfTl",
  "functional": "GGA-PBE",
  "state": "relaxed",
  "lattice": [[3.456, 0.000, 0.000], [0.000, 3.456, 0.000], [0.000, 0.000, 9.092]],
  "species": ["Y", "Y", "Hf", "Tl"],
  "frac_coords": [[0.000, 0.000, 0.250], [0.000, 0.000, 0.750], [0.500, 0.500, 0.000], [0.500, 0.500, 0.500]],
  "space_group": "No. 123",
  "e_above_lowest_polymorph_kj_per_mol_atoms": 0.00,
  "crystal_system": "tetragonal",
  "ef_ev_per_atom": -0.097,
  "total_magnetization_mub_per_fu": 0.00,
  "final_energy_ev_per_atom": -6.409,
  "rho_g_cm3": 8.57
}


# 2
{
  "formula": "Y2HfTl",
  "functional": "GGA-PBE",
  "state": "relaxed",
  "lattice": [[1.664, 0.961, 11.739], [-1.664, 0.961, 11.739], [0.000, -1.922, 11.739]],
  "species": ["Y", "Y", "Hf", "Tl"],
  "frac_coords": [[0.090, 0.090, 0.090], [0.910, 0.910, 0.910], [0.000, 0.000, 0.000], [0.500, 0.500, 0.500]],
  "space_group": "No. 166",
  "e_above_lowest_polymorph_kj_per_mol_atoms": 38.96,
  "crystal_system": "trigonal",
  "ef_ev_per_atom": 0.307,
  "total_magnetization_mub_per_fu": 0.01,
  "final_energy_ev_per_atom": -6.005,
  "rho_g_cm3": 8.27
}


# 3
{
  "formula": "Y2HfTl",
  "functional": "GGA-PBE",
  "state": "relaxed",
  "lattice": [[0.000, 3.782, 3.782], [3.782, 0.000, 3.782], [3.782, 3.782, 0.000]],
  "species": ["Y", "Y", "Hf", "Tl"],
  "frac_coords": [[0.250, 0.250, 0.250], [0.750, 0.750, 0.750], [0.000, 0.000, 0.000], [0.500, 0.500, 0.500]],
  "space_group": "No. 225",
  "e_above_lowest_polymorph_kj_per_mol_atoms": 17.42,
  "crystal_system": "cubic",
  "ef_ev_per_atom": 0.084,
  "total_magnetization_mub_per_fu": 2.62,
  "final_energy_ev_per_atom": -6.228,
  "rho_g_cm3": 8.60
}


# 4
{
  "formula": "YHf3Tl",
  "functional": "GGA-PBE",
  "state": "relaxed",
  "lattice": [[5.227, 0.000, 0.000], [0.000, 5.227, 0.000], [0.000, 0.000, 5.227]],
  "species": ["Y", "Hf", "Hf", "Hf", "Tl"],
  "frac_coords": [[0.000, 0.000, 0.000], [0.000, 0.000, 0.500], [0.000, 0.500, 0.000], [0.500, 0.000, 0.000], [0.500, 0.500, 0.500]],
  "space_group": "No. 221",
  "crystal_system": "cubic",
  "ef_ev_per_atom": 1.561,
  "total_magnetization_mub_per_fu": 0.00,
  "final_energy_ev_per_atom": -6.177,
  "rho_g_cm3": 9.64
}


# 5
{
  "formula": "YHfTlZn",
  "functional": "GGA-PBE",
  "state": "relaxed",
  "lattice": [[0.000, 3.562, 3.562], [3.562, 0.000, 3.562], [3.562, 3.562, 0.000]],
  "species": ["Y", "Hf", "Tl", "Zn"],
  "frac_coords": [[0.000, 0.000, 0.000], [0.500, 0.500, 0.500], [0.750, 0.750, 0.750], [0.250, 0.250, 0.250]],
  "space_group": "No. 216",
  "crystal_system": "cubic",
  "ef_ev_per_atom": -0.089,
  "total_magnetization_mub_per_fu": 0.00,
  "final_energy_ev_per_atom": -5.103,
  "rho_g_cm3": 9.87
}


# 6
{
  "formula": "Hf4TlZn",
  "functional": "GGA-PBE",
  "state": "relaxed",
  "lattice": [[3.195, 0.000, 0.000], [0.000, 3.195, 0.000], [0.000, 0.000, 12.649]],
  "species": ["Hf", "Hf", "Hf", "Hf", "Tl", "Zn"],
  "frac_coords": [[0.000, 0.000, 0.143], [0.000, 0.000, 0.857], [0.500, 0.500, 0.309], [0.500, 0.500, 0.691], [0.000, 0.000, 0.500], [0.500, 0.500, 0.000]],
  "space_group": "No. 123",
  "crystal_system": "tetragonal",
  "ef_ev_per_atom": -0.084,
  "total_magnetization_mub_per_fu": 0.00,
  "final_energy_ev_per_atom": -7.326,
  "rho_g_cm3": 12.66
}


# 7
{
  "formula": "HfTl3Zn",
  "functional": "GGA-PBE",
  "state": "relaxed",
  "lattice": [[5.707, 0.000, 0.000], [0.000, 5.707, 0.000], [0.000, 0.000, 5.707]],
  "species": ["Hf", "Tl", "Tl", "Tl", "Zn"],
  "frac_coords": [[0.000, 0.000, 0.000], [0.000, 0.000, 0.500], [0.000, 0.500, 0.000], [0.500, 0.000, 0.000], [0.500, 0.500, 0.500]],
  "space_group": "No. 221",
  "e_above_lowest_polymorph_kj_per_mol_atoms": 0.00,
  "crystal_system": "cubic",
  "ef_ev_per_atom": 0.701,
  "total_magnetization_mub_per_fu": 0.00,
  "final_energy_ev_per_atom": -2.964,
  "rho_g_cm3": 7.65
}


# 8
{
  "formula": "Hf3TlZn",
  "functional": "GGA-PBE",
  "state": "relaxed",
  "lattice": [[4.933, 0.000, 0.000], [0.000, 4.933, 0.000], [0.000, 0.000, 4.933]],
  "species": ["Hf", "Hf", "Hf", "Tl", "Zn"],
  "frac_coords": [[0.000, 0.000, 0.500], [0.000, 0.500, 0.000], [0.500, 0.000, 0.000], [0.500, 0.500, 0.500], [0.000, 0.000, 0.000]],
  "space_group": "No. 221",
  "e_above_lowest_polymorph_kj_per_mol_atoms": 0.00,
  "crystal_system": "cubic",
  "ef_ev_per_atom": 0.525,
  "total_magnetization_mub_per_fu": 0.00,
  "final_energy_ev_per_atom": -6.175,
  "rho_g_cm3": 11.14
}


# 9
{
  "formula": "Hf6Tl2Zn",
  "functional": "GGA-PBE",
  "state": "relaxed",
  "lattice": [[7.425, -3.328, 0.000], [7.425, 3.328, 0.000], [-1.464, 0.000, 4.438]],
  "species": ["Hf", "Hf", "Hf", "Hf", "Hf", "Hf", "Tl", "Tl", "Zn"],
  "frac_coords": [[0.081, 0.602, 0.342], [0.233, 0.767, 0.000], [0.398, 0.919, 0.658], [0.602, 0.081, 0.342], [0.767, 0.233, 0.000], [0.919, 0.398, 0.658], [0.333, 0.333, 0.834], [0.667, 0.667, 0.166], [0.000, 0.000, 0.500]],
  "space_group": "No. 12",
  "crystal_system": "monoclinic",
  "ef_ev_per_atom": 0.477,
  "total_magnetization_mub_per_fu": 0.00,
  "final_energy_ev_per_atom": -6.826,
  "rho_g_cm3": 11.70
}


# 10
{
  "formula": "HfTl3Zn",
  "functional": "GGA-PBE",
  "state": "relaxed",
  "lattice": [[5.194, 0.000, 0.000], [0.000, 5.194, 0.000], [0.000, 0.000, 5.194]],
  "species": ["Hf", "Tl", "Tl", "Tl", "Zn"],
  "frac_coords": [[0.000, 0.000, 0.000], [0.000, 0.500, 0.500], [0.500, 0.000, 0.500], [0.500, 0.500, 0.000], [0.500, 0.500, 0.500]],
  "space_group": "No. 221",
  "e_above_lowest_polymorph_kj_per_mol_atoms": 6.31,
  "crystal_system": "cubic",
  "ef_ev_per_atom": 0.767,
  "total_magnetization_mub_per_fu": 0.00,
  "final_energy_ev_per_atom": -2.898,
  "rho_g_cm3": 10.15
}


# 11
{
  "formula": "Hf4Tl2Zn",
  "functional": "GGA-PBE",
  "state": "relaxed",
  "lattice": [[-2.398, 2.398, 7.555], [2.398, -2.398, 7.555], [2.398, 2.398, -7.555]],
  "species": ["Hf", "Hf", "Hf", "Hf", "Tl", "Tl", "Zn"],
  "frac_coords": [[0.000, 0.500, 0.500], [0.171, 0.171, 0.000], [0.500, 0.000, 0.500], [0.829, 0.829, 0.000], [0.363, 0.363, 0.000], [0.637, 0.637, 0.000], [0.000, 0.000, 0.000]],
  "space_group": "No. 139",
  "crystal_system": "tetragonal",
  "ef_ev_per_atom": 0.545,
  "total_magnetization_mub_per_fu": 0.00,
  "final_energy_ev_per_atom": -6.001,
  "rho_g_cm3": 11.35
}


# 12
{
  "formula": "Hf6TlZn",
  "functional": "GGA-PBE",
  "state": "relaxed",
  "lattice": [[3.123, -5.522, 0.000], [3.123, 5.522, 0.000], [-2.868, 0.000, 5.281]],
  "species": ["Hf", "Hf", "Hf", "Hf", "Hf", "Hf", "Tl", "Zn"],
  "frac_coords": [[0.224, 0.769, 0.742], [0.231, 0.776, 0.258], [0.479, 0.479, 0.738], [0.521, 0.521, 0.262], [0.769, 0.224, 0.742], [0.776, 0.231, 0.258], [0.000, 0.000, 0.000], [0.000, 0.000, 0.500]],
  "space_group": "No. 12",
  "crystal_system": "monoclinic",
  "ef_ev_per_atom": 0.420,
  "total_magnetization_mub_per_fu": 0.00,
  "final_energy_ev_per_atom": -7.500,
  "rho_g_cm3": 12.22
}


Q: Which Fermi-level density of states values were calculated for the entries above? A: 0.942, 1.464, 0.901, 2.195, 0.776, 0.703, 0.851, 0.759, 1.182, 0.628, 0.378, 1.293, in states/eV/atom.